Entry 1:
# Ac2ZrSe2N2 | Alexandria | GGA-PBE | relaxed
# **V**: 307 Å³/cell
# **Formation energy (no corrections)**: -1.7402 eV per atom
# **M_tot**: 0.00 μB/cell
data_Ac2ZrSe2N2
_chemical_formula_sum 'Ac4 Zr2 Se4 N4'
_cell_length_a 4.396
_cell_length_b 4.396
_cell_length_c 15.859
_cell_angle_alpha 90.00
_cell_angle_beta 90.00
_cell_angle_gamma 90.00
_symmetry_space_group_name_H-M 'I 4/m m m'
_symmetry_Int_Tables_number 139
_symmetry_space_group_name_Hall '-I 4 2'
loop_
_atom_site_label
_atom_site_type_symbol
_atom_site_fract_x
_atom_site_fract_y
_atom_site_fract_z
Ac1 Ac 0.000 0.000 0.115
Zr1 Zr 0.000 0.000 0.500
Se1 Se 0.000 0.000 0.323
N1 N 0.000 0.500 0.000

***

Entry 2:
# Ac2SiN | Alexandria | GGA-PBE | relaxed
# **D(E_F)**: 4.75 states/eV per cell
# **V**: 318 Å³/cell
# **Formation energy (no corrections)**: -0.6089 eV per atom
# **M_tot**: 0.00 μB/cell
data_Ac2SiN
_chemical_formula_sum 'Ac6 Si3 N3'
_cell_length_a 4.0195
_cell_length_b 4.0195
_cell_length_c 22.6973
_cell_angle_alpha 90.00
_cell_angle_beta 90.00
_cell_angle_gamma 120.00
_symmetry_space_group_name_H-M 'R -3 m'
_symmetry_Int_Tables_number 166
_symmetry_space_group_name_Hall '-R 3 2"'
loop_
_atom_site_label
_atom_site_type_symbol
_atom_site_fract_x
_atom_site_fract_y
_atom_site_fract_z
Ac1 Ac 0.0000 0.0000 0.2346
Si1 Si 0.0000 0.0000 0.0000
N1 N 0.0000 0.0000 0.5000

***

Number 1: VASP energy -52.6 eV per formula unit. Number 2: VASP energy -24.4 eV per formula unit.